Below is HgAsI2N after structural relaxation, with properties calculated at the PBE level.

Cell: 6.3722 6.3722 3.6252 Å, 90.00 90.00 90.00°
Space group P4/mmm (No. 123)
Symmetry-distinct sites (fractional):
Hg 0.0000 0.0000 0.0000
As 0.5000 0.5000 0.5000
I 0.0000 0.5000 0.5000
N 0.5000 0.5000 0.0000

Calculated values
- energy relative to the lowest polymorph listed for this composition (meV/atom) = 0
- formation energy without anion corrections (eV per atom) = 0.61
- N(E_F) (states/eV/cell) = 3.7